Here is a relaxed structure of MnSb2Pd2 from Alexandria via LeMat-Bulk. Energies are from PBE.

Cell: 5.303 5.303 5.412 Å, 60.66 60.66 90.00°
Fractional coordinates of all 5 atoms:
Sb 0.250 0.750 0.500
Sb 0.750 0.250 0.500
Mn 0.000 0.000 0.000
Pd 0.670 0.670 0.661
Pd 0.330 0.330 0.339

Properties
* distance to the lowest polymorph of the same formula: 0.200 eV/atom
* M_tot: 4.33 Bohr magnetons per cell
* formation energy without anion corrections: 84 meV per atom
* V: 109.8 Å³/f.u.

=====

Here is a relaxed structure of MnSb2Pd from Alexandria via LeMat-Bulk. Energies are from PBE.

Cell: 4.577 4.577 9.179 Å, 75.56 75.56 90.00°
Fractional coordinates of all 8 atoms:
Pd 0.750 0.250 0.500
Pd 0.000 0.000 0.000
Sb 0.375 0.371 0.750
Sb 0.121 0.625 0.250
Sb 0.875 0.879 0.750
Sb 0.629 0.125 0.250
Mn 0.500 0.500 0.000
Mn 0.250 0.750 0.500

Properties
* distance to the lowest polymorph of the same formula: 0.000 eV/atom
* M_tot: 7.70 Bohr magnetons per cell
* formation energy without anion corrections: 28 meV per atom
* V: 90.0 Å³/f.u.

=====

Here is a relaxed structure of Mn2SbPd6 from Alexandria via LeMat-Bulk. Energies are from PBE.

Cell: 4.654 7.402 6.136 Å, 127.10 112.29 90.00°
Fractional coordinates of all 9 atoms:
Pd 0.167 0.855 0.333
Pd 0.500 0.803 0.000
Pd 0.833 0.521 0.667
Pd 0.167 0.479 0.333
Pd 0.500 0.197 0.000
Pd 0.833 0.145 0.667
Sb 0.000 0.000 0.000
Mn 0.668 0.668 0.335
Mn 0.332 0.332 0.665

Properties
* distance to the lowest polymorph of the same formula: 0.085 eV/atom
* M_tot: 8.90 Bohr magnetons per cell
* formation energy without anion corrections: -188 meV per atom
* V: 148.3 Å³/f.u.